Entry 1:
Computed, not measured: a geometry-optimized SrZrAlI2 structure at the PBE level of DFT.

Summary:
Formation energy without anion corrections = 60.7 kJ/mol of atoms
Crystal system = tetragonal

Lattice parameters (Å, degrees): 6.136 6.136 6.401 90.00 90.00 90.00
Space group P4/mmm (No. 123)
Unique sites:
Sr  0.000  0.000  0.000 x1
Zr  0.500  0.500  0.500 x1
Al  0.000  0.000  0.500 x1
I  0.000  0.500  0.000 x2

---

Entry 2:
Computed, not measured: a geometry-optimized Ho3Ga8Cu3 structure at the PBE level of DFT.

Summary:
Crystal system = orthorhombic
ΔH_f (0 K) = -0.473 eV per atom

Lattice parameters (Å, degrees): 4.253 9.354 12.395 90.00 90.00 90.00
Space group Immm (No. 71)
Unique sites:
Ho  0.000  0.000  0.000 x2
Ho  0.000  0.000  0.302 x4
Ga  0.000  0.290  0.131 x8
Ga  0.000  0.364  0.346 x8
Cu  0.000  0.183  0.500 x4
Cu  0.000  0.500  0.000 x2

---

| no. | M_tot (μB/f.u.) |
| --- | --- |
| 1 | 3.3 |
| 2 | 0.0 |